(1)
The following is a DFT calculation (PBE) of a geometry-optimized SrAc6Y2 structure.

Properties
Magnetization, μB per formula unit: 0.00
E_form, eV per atom: 0.48

```
SrAc6Y2
1.0
6.668 0.000 0.000
-3.334 5.775 0.000
0.000 0.000 12.354
Sr Ac Y
1 6 2
Direct
0.000 0.000 0.000 Sr
0.000 0.330 0.272 Ac
0.000 0.670 0.728 Ac
0.330 0.000 0.272 Ac
0.330 0.330 0.728 Ac
0.670 0.000 0.728 Ac
0.670 0.670 0.272 Ac
0.333 0.667 0.500 Y
0.667 0.333 0.500 Y
```

=====

(2)
The following is a DFT calculation (PBE) of a geometry-optimized SrAc2Zn2 structure.

Properties
Magnetization, μB per formula unit: 0.00
E_form, eV per atom: -0.08

```
SrAc2Zn2
1.0
5.180 0.000 0.000
0.000 4.944 0.000
-2.135 0.000 13.557
Sr Ac Zn
2 4 4
Direct
0.156 0.250 0.268 Sr
0.844 0.750 0.732 Sr
0.248 0.750 0.496 Ac
0.407 0.250 0.888 Ac
0.593 0.750 0.112 Ac
0.752 0.250 0.504 Ac
0.031 0.750 0.966 Zn
0.314 0.250 0.652 Zn
0.686 0.750 0.348 Zn
0.969 0.250 0.034 Zn
```

=====

(3)
The following is a DFT calculation (PBE) of a geometry-optimized SrAcZn4 structure.

Properties
Magnetization, μB per formula unit: 0.00
E_form, eV per atom: -0.18

```
SrAcZn4
1.0
0.000 4.118 4.118
4.118 0.000 4.118
4.118 4.118 0.000
Sr Ac Zn
1 1 4
Direct
0.000 0.000 0.000 Sr
0.250 0.250 0.250 Ac
0.129 0.624 0.624 Zn
0.624 0.129 0.624 Zn
0.624 0.624 0.129 Zn
0.624 0.624 0.624 Zn
```

=====

(4)
The following is a DFT calculation (PBE) of a geometry-optimized SrAc2Zn2 structure.

Properties
Magnetization, μB per formula unit: 0.00
E_form, eV per atom: -0.11

```
SrAc2Zn2
1.0
3.875 0.000 0.000
0.000 22.477 0.000
0.000 0.000 3.893
Sr Ac Zn
2 4 4
Direct
0.000 0.000 0.000 Sr
0.500 0.500 0.000 Sr
0.000 0.171 0.000 Ac
0.000 0.829 0.000 Ac
0.500 0.329 0.000 Ac
0.500 0.671 0.000 Ac
0.000 0.411 0.500 Zn
0.000 0.589 0.500 Zn
0.500 0.089 0.500 Zn
0.500 0.911 0.500 Zn
```

=====

(5)
The following is a DFT calculation (PBE) of a geometry-optimized SrAc3Zn2 structure.

Properties
Magnetization, μB per formula unit: 0.01
E_form, eV per atom: -0.14

```
SrAc3Zn2
1.0
3.977 0.000 0.000
0.000 3.977 0.000
0.000 0.000 13.794
Sr Ac Zn
1 3 2
Direct
0.000 0.000 0.000 Sr
0.500 0.500 0.228 Ac
0.500 0.500 0.500 Ac
0.500 0.500 0.772 Ac
0.000 0.000 0.360 Zn
0.000 0.000 0.640 Zn
```

=====

(6)
The following is a DFT calculation (PBE) of a geometry-optimized Sr2AcZn structure.

Properties
Magnetization, μB per formula unit: 0.00
E_form, eV per atom: -0.04

```
Sr2AcZn
1.0
3.913 0.000 0.000
0.000 3.913 0.000
0.000 0.000 10.274
Sr Ac Zn
2 1 1
Direct
0.000 0.000 0.189 Sr
0.000 0.000 0.811 Sr
0.500 0.500 0.500 Ac
0.500 0.500 0.000 Zn
```

=====

(7)
The following is a DFT calculation (PBE) of a geometry-optimized SrAc3Zn4 structure.

Properties
Magnetization, μB per formula unit: 0.00
E_form, eV per atom: -0.24

```
SrAc3Zn4
1.0
3.914 0.000 0.000
0.000 5.547 0.000
0.000 0.000 11.028
Sr Ac Zn
1 3 4
Direct
0.000 0.000 0.000 Sr
0.000 0.000 0.500 Ac
0.000 0.500 0.250 Ac
0.000 0.500 0.750 Ac
0.500 0.000 0.253 Zn
0.500 0.000 0.747 Zn
0.500 0.500 0.000 Zn
0.500 0.500 0.500 Zn
```

=====

(8)
The following is a DFT calculation (PBE) of a geometry-optimized SrAcZn2 structure.

Properties
Magnetization, μB per formula unit: 0.00
E_form, eV per atom: -0.23

```
SrAcZn2
1.0
7.807 0.000 0.000
0.000 7.807 0.000
0.000 0.000 7.807
Sr Ac Zn
4 4 8
Direct
0.000 0.000 0.000 Sr
0.000 0.500 0.500 Sr
0.500 0.000 0.500 Sr
0.500 0.500 0.000 Sr
0.000 0.000 0.500 Ac
0.000 0.500 0.000 Ac
0.500 0.000 0.000 Ac
0.500 0.500 0.500 Ac
0.250 0.250 0.250 Zn
0.250 0.250 0.750 Zn
0.250 0.750 0.250 Zn
0.250 0.750 0.750 Zn
0.750 0.250 0.250 Zn
0.750 0.250 0.750 Zn
0.750 0.750 0.250 Zn
0.750 0.750 0.750 Zn
```

=====

(9)
The following is a DFT calculation (PBE) of a geometry-optimized SrAc2Zn structure.

Properties
Magnetization, μB per formula unit: 0.00
E_form, eV per atom: -0.09

```
SrAc2Zn
1.0
3.994 0.000 0.000
0.000 3.994 0.000
0.000 0.000 9.969
Sr Ac Zn
1 2 1
Direct
0.000 0.000 0.000 Sr
0.500 0.500 0.316 Ac
0.500 0.500 0.684 Ac
0.000 0.000 0.500 Zn
```

=====

(10)
The following is a DFT calculation (PBE) of a geometry-optimized Sr2AcZn structure.

Properties
Magnetization, μB per formula unit: 0.00
E_form, eV per atom: 0.02

```
Sr2AcZn
1.0
4.136 0.000 0.000
-2.068 3.582 0.000
0.000 0.000 33.863
Sr Ac Zn
6 3 3
Direct
0.000 0.000 0.000 Sr
0.000 0.000 0.200 Sr
0.333 0.667 0.667 Sr
0.333 0.667 0.867 Sr
0.667 0.333 0.333 Sr
0.667 0.333 0.534 Sr
0.000 0.000 0.766 Ac
0.333 0.667 0.433 Ac
0.667 0.333 0.099 Ac
0.000 0.000 0.601 Zn
0.333 0.667 0.267 Zn
0.667 0.333 0.934 Zn
```

=====

(11)
The following is a DFT calculation (PBE) of a geometry-optimized Sr2AcZn3 structure.

Properties
Magnetization, μB per formula unit: 0.00
E_form, eV per atom: -0.21

```
Sr2AcZn3
1.0
3.922 0.000 0.000
0.000 3.922 0.000
0.000 0.000 11.729
Sr Ac Zn
2 1 3
Direct
0.000 0.000 0.167 Sr
0.000 0.000 0.833 Sr
0.000 0.000 0.500 Ac
0.500 0.500 0.000 Zn
0.500 0.500 0.339 Zn
0.500 0.500 0.661 Zn
```

=====

(12)
The following is a DFT calculation (PBE) of a geometry-optimized SrAcZn2 structure.

Properties
Magnetization, μB per formula unit: 0.00
E_form, eV per atom: -0.22

```
SrAcZn2
1.0
5.552 0.000 0.000
0.000 5.552 0.000
0.000 0.000 3.882
Sr Ac Zn
1 1 2
Direct
0.000 0.000 0.000 Sr
0.500 0.500 0.000 Ac
0.000 0.500 0.500 Zn
0.500 0.000 0.500 Zn
```

=====

Values for energy, eV per atom, ordered as above
-3.88, -2.57, -2.00, -2.60, -2.90, -2.22, -2.62, -2.31, -2.88, -2.16, -2.09, -2.31